(1)
# PBE Ti2BeTc, optimized geometry
# Energy relative to the elements in eV per atom: -0.343
data_Ti2BeTc
_space_group_name_H-M_alt 'P 1'
_space_group_IT_number 1
_cell_length_a 3.122
_cell_length_b 3.122
_cell_length_c 5.758
_cell_angle_alpha 90.00
_cell_angle_beta 90.00
_cell_angle_gamma 90.00
loop_
_space_group_symop_operation_xyz
'x,y,z'
loop_
_atom_site_label
_atom_site_type_symbol
_atom_site_fract_x
_atom_site_fract_y
_atom_site_fract_z
_atom_site_occupancy
Tc1 Tc 0.500 0.500 0.500 1
Ti1 Ti 0.000 0.000 0.756 1
Ti2 Ti 0.000 0.000 0.244 1
Be1 Be 0.500 0.500 0.000 1

=====

(2)
# PBE Ti4BeTc, optimized geometry
# Energy relative to the elements in eV per atom: 0.229
data_Ti4BeTc
_space_group_name_H-M_alt 'P 1'
_space_group_IT_number 1
_cell_length_a 4.217
_cell_length_b 4.229
_cell_length_c 7.102
_cell_angle_alpha 72.60
_cell_angle_beta 72.73
_cell_angle_gamma 60.10
loop_
_space_group_symop_operation_xyz
'x,y,z'
loop_
_atom_site_label
_atom_site_type_symbol
_atom_site_fract_x
_atom_site_fract_y
_atom_site_fract_z
_atom_site_occupancy
Ti1 Ti 0.871 0.872 0.386 1
Ti2 Ti 0.624 0.624 0.129 1
Ti3 Ti 0.376 0.376 0.871 1
Ti4 Ti 0.129 0.128 0.614 1
Be1 Be 0.500 0.500 0.500 1
Tc1 Tc 0.000 0.000 0.000 1

=====

- Look up the energy relative to the elements of the second one.
  0.229 eV per atom

=====

- Which formula does entry 2 have?
  Ti4BeTc

=====

- Which of these has the highest energy relative to the elements?
  Ti4BeTc